## Sm3ScGa12 (PBE)

Data for a relaxed structure of Sm3ScGa12.

Results
* formation enthalpy at 0 K: -0.516 eV/atom

Lattice parameters (Å, degrees): 4.2852 4.2852 17.1928 90.00 90.00 90.00
Space group P4/mmm (No. 123)
Unique sites:
Sm  0.0000  0.0000  0.0000 (multiplicity 1)
Sm  0.0000  0.0000  0.2574 (multiplicity 2)
Sc  0.0000  0.0000  0.5000 (multiplicity 1)
Ga  0.0000  0.5000  0.1283 (multiplicity 4)
Ga  0.0000  0.5000  0.3845 (multiplicity 4)
Ga  0.5000  0.5000  0.0000 (multiplicity 1)
Ga  0.5000  0.5000  0.2505 (multiplicity 2)
Ga  0.5000  0.5000  0.5000 (multiplicity 1)